No. 1
NaGeBr2Cl: optimized geometry, PBE.

Computed properties:
Relative energy among the computed polymorphs = 0.000 eV per atom
ΔE_f (raw) = -1.01 eV per atom

a = 7.0258 Å, b = 7.0258 Å, c = 9.9855 Å
α = 90.00°, β = 90.00°, γ = 146.28°
Sites, in units of the cell vectors:
Na1 0.2246 0.7754 0.7500
Na2 0.7754 0.2246 0.2500
Ge1 0.5000 0.5000 0.0000
Ge2 0.5000 0.5000 0.5000
Br1 0.1394 0.8606 0.0600
Br2 0.1394 0.8606 0.4400
Br3 0.8606 0.1394 0.5600
Br4 0.8606 0.1394 0.9400
Cl1 0.4200 0.5800 0.2500
Cl2 0.5800 0.4200 0.7500

No. 2
DyErPu2Se4: optimized geometry, PBE.

Computed properties:
ΔE_f (raw) = -1.32 eV per atom

a = 5.0506 Å, b = 5.0506 Å, c = 7.1089 Å
α = 90.00°, β = 90.00°, γ = 90.00°
Sites, in units of the cell vectors:
Dy1 0.0000 0.0000 0.0000
Er1 0.5000 0.5000 0.0000
Pu1 0.0000 0.0000 0.5000
Pu2 0.5000 0.5000 0.5000
Se1 0.0000 0.5000 0.2431
Se2 0.0000 0.5000 0.7569
Se3 0.5000 0.0000 0.2431
Se4 0.5000 0.0000 0.7569

No. 3
Nd2NiAg: optimized geometry, PBE.

Computed properties:
DFT formation energy = -1.0 eV per formula unit

a = 5.8607 Å, b = 4.6562 Å, c = 7.7768 Å
α = 90.00°, β = 111.02°, γ = 90.00°
Sites, in units of the cell vectors:
Nd1 0.2075 0.2500 0.4346
Nd2 0.2383 0.2500 0.9259
Nd3 0.7617 0.7500 0.0741
Nd4 0.7925 0.7500 0.5654
Ni1 0.3539 0.7500 0.7101
Ni2 0.6461 0.2500 0.2899
Ag1 0.3358 0.7500 0.2154
Ag2 0.6642 0.2500 0.7846